## a
## Rb2Mg2Te3 (GGA-PBE)

Data for a geometry-optimized Rb2Mg2Te3 structure.

Values from the calculation:
DOS at the Fermi energy (states/eV/cell): 0.00

abc: 7.9259 12.4423 12.4423
angles: 82.96 71.02 71.02
Closest atoms and distances in Å follow each position.
Positions (direct):
Te: 0.2627 0.4423 0.8524  3 Mg 2.82-2.86
Te: 0.1552 0.7572 0.0117  2 Mg 2.81
Te: 0.7627 0.8524 0.4423  3 Mg 2.82-2.86
Te: 0.2373 0.1476 0.5577  3 Mg 2.82-2.86
Te: 0.3448 0.9883 0.2428  2 Mg 2.81
Te: 0.6552 0.0117 0.7572  2 Mg 2.81
Te: 0.7373 0.5577 0.1476  3 Mg 2.82-2.86
Te: 0.7522 0.2559 0.4042  3 Mg 2.87-2.93
Te: 0.8448 0.2428 0.9883  2 Mg 2.81
Te: 0.2522 0.4042 0.2559  3 Mg 2.87-2.93
Te: 0.2478 0.7441 0.5958  3 Mg 2.87-2.93
Te: 0.7478 0.5958 0.7441  3 Mg 2.87-2.93
Mg: 0.1251 0.5377 0.0736  4 Te 2.81-2.90
Mg: 0.6251 0.0736 0.5377  4 Te 2.81-2.90
Mg: 0.8749 0.4623 0.9264  4 Te 2.81-2.90
Mg: 0.3749 0.9264 0.4623  4 Te 2.81-2.90
Mg: 0.3492 0.6488 0.8017  4 Te 2.81-2.93
Mg: 0.6508 0.3512 0.1983  4 Te 2.81-2.93
Mg: 0.8492 0.8017 0.6488  4 Te 2.81-2.93
Mg: 0.1508 0.1983 0.3512  4 Te 2.81-2.93
Rb: 0.3706 0.1915 0.0127  4 Te 3.51-3.92
Rb: 0.2500 0.4364 0.5636  6 Te 3.64-3.89
Rb: 0.8706 0.0127 0.1915  4 Te 3.51-3.92
Rb: 0.7500 0.5636 0.4364  6 Te 3.64-3.89
Rb: 0.7500 0.2876 0.7124  6 Te 3.64-3.90
Rb: 0.2500 0.7124 0.2876  6 Te 3.64-3.90
Rb: 0.6294 0.8085 0.9873  4 Te 3.51-3.92
Rb: 0.1294 0.9873 0.8085  4 Te 3.51-3.92

## b
## Rb2Mg2Te3 (GGA-PBE)

Data for a geometry-optimized Rb2Mg2Te3 structure.

Values from the calculation:
DOS at the Fermi energy (states/eV/cell): 0.00

abc: 4.6659 9.1523 8.4099
angles: 124.87 106.11 90.00
Closest atoms and distances in Å follow each position.
Positions (direct):
Te: 0.1873 0.6267 0.3745  3 Mg 2.87
Te: 0.0000 0.0000 0.0000  2 Mg 2.74
Te: 0.8127 0.3733 0.6255  3 Mg 2.87
Mg: 0.1942 0.3209 0.3884  4 Te 2.74-2.87
Mg: 0.8058 0.6791 0.6116  4 Te 2.74-2.87
Rb: 0.4360 0.2139 0.8719  4 Te 3.57-3.87
Rb: 0.5640 0.7861 0.1281  4 Te 3.57-3.87

Preferred: a; penalty for the next structure: 0.8 kJ/mol of atoms.

## a
## RbMg3Te (GGA-PBE)

Data for a geometry-optimized RbMg3Te structure.

Values from the calculation:
DOS at the Fermi energy (states/eV/cell): 4.46

abc: 5.9066 5.9066 5.9066
angles: 90.00 90.00 90.00
Closest atoms and distances in Å follow each position.
Positions (direct):
Mg: 0.0000 0.0000 0.5000  2 Te 2.95
Mg: 0.0000 0.5000 0.0000  2 Te 2.95
Mg: 0.5000 0.0000 0.0000  2 Te 2.95
Te: 0.0000 0.0000 0.0000  6 Mg 2.95
Rb: 0.5000 0.5000 0.5000  12 Mg 4.18

## b
## RbMg3Te (GGA-PBE)

Data for a geometry-optimized RbMg3Te structure.

Values from the calculation:
DOS at the Fermi energy (states/eV/cell): 4.99

abc: 6.5764 6.5764 6.5764
angles: 90.00 90.00 90.00
Closest atoms and distances in Å follow each position.
Positions (direct):
Mg: 0.0000 0.5000 0.0000  2 Rb 3.29
Mg: 0.5000 0.0000 0.0000  2 Rb 3.29
Mg: 0.0000 0.0000 0.5000  2 Rb 3.29
Te: 0.5000 0.5000 0.5000  12 Mg 4.65
Rb: 0.0000 0.0000 0.0000  6 Mg 3.29

Preferred: a; penalty for the next structure: 73.3 kJ/mol of atoms.